Record 1
## MgTlPd (GGA-PBE)

Data for a geometry-optimized MgTlPd structure. Values from VASP.

Results
Electronic total energy (eV per atom): -3.39
SG: No. 107
E_form (eV per atom): -0.3395

Geometry as Quantum ESPRESSO input:
```
&SYSTEM
  ibrav = 0, nat = 3, ntyp = 3
/
ATOMIC_SPECIES
Tl 204.38 Tl.upf
Mg 24.30 Mg.upf
Pd 106.42 Pd.upf
CELL_PARAMETERS angstrom
-2.095 -2.580 1.078
1.308 -2.095 -2.471
3.762 0.868 3.726
ATOMIC_POSITIONS angstrom
Tl 0.358 -2.665 -0.021
Mg 2.047 -0.893 1.841
Pd 2.536 -3.615 1.938
```

***

Record 2
## Ba2P (GGA-PBE)

Data for a geometry-optimized Ba2P structure. Values from VASP.

Results
Electronic total energy (eV per atom): -3.67
SG: No. 194
E_form (eV per atom): -0.5869

Geometry as Quantum ESPRESSO input:
```
&SYSTEM
  ibrav = 0, nat = 6, ntyp = 2
/
ATOMIC_SPECIES
Ba 137.33 Ba.upf
P 30.97 P.upf
CELL_PARAMETERS angstrom
2.774 -4.804 0.000
2.774 4.804 0.000
0.000 0.000 7.577
ATOMIC_POSITIONS angstrom
Ba 0.000 0.000 0.000
Ba 0.000 0.000 3.788
Ba 2.774 1.601 1.894
Ba 2.774 -1.601 5.683
P 2.774 -1.601 1.894
P 2.774 1.601 5.683
```